Model w:
Here is crystalline TcP4 at its relaxed geometry from Alexandria via LeMat-Bulk. Energies are from GGA-PBE.

The structure in POSCAR format:
```
TcP4
1.0
-2.7966 2.7966 2.7966
2.7966 -2.7966 2.7966
2.7966 2.7966 -2.7966
Tc P
1 4
Direct
0.0000 0.0000 0.0000
0.0000 0.0000 0.5000
0.0000 0.5000 0.0000
0.5000 0.0000 0.0000
0.5000 0.5000 0.5000
```

## Properties
Density of states at the Fermi level ... 1.0685 states/eV/atom
Calculated density ... 4.2 g/cm3
Space-group type ... Im-3m (229)



Model x:
Here is crystalline TcP4 at its relaxed geometry from Alexandria via LeMat-Bulk. Energies are from GGA-PBE.

The structure in POSCAR format:
```
TcP4
1.0
4.5720 0.0000 0.0000
0.0000 4.5720 0.0000
0.0000 0.0000 4.5720
Tc P
1 4
Direct
0.0000 0.0000 0.0000
0.0000 0.0000 0.5000
0.0000 0.5000 0.0000
0.5000 0.0000 0.0000
0.5000 0.5000 0.5000
```

## Properties
Density of states at the Fermi level ... 0.9958 states/eV/atom
Calculated density ... 3.9 g/cm3
Space-group type ... Pm-3m (221)



Model y:
Here is crystalline TcP4 at its relaxed geometry from Alexandria via LeMat-Bulk. Energies are from GGA-PBE.

The structure in POSCAR format:
```
TcP4
1.0
-2.2788 2.2788 3.4973
2.2788 -2.2788 3.4973
2.2788 2.2788 -3.4973
Tc P
1 4
Direct
0.0000 0.0000 0.0000
0.2500 0.7500 0.5000
0.3394 0.3394 0.0000
0.6606 0.6606 0.0000
0.7500 0.2500 0.5000
```

## Properties
Density of states at the Fermi level ... 0.7775 states/eV/atom
Calculated density ... 5.1 g/cm3
Space-group type ... I4/mmm (139)



Model z:
Here is crystalline TcP4 at its relaxed geometry from Alexandria via LeMat-Bulk. Energies are from GGA-PBE.

The structure in POSCAR format:
```
TcP4
1.0
6.2750 0.0000 0.0000
0.0000 9.2712 0.0000
0.0000 0.0000 10.9097
Tc P
8 32
Direct
0.1213 0.1093 0.0754
0.1213 0.3907 0.5754
0.3787 0.6093 0.0754
0.3787 0.8907 0.5754
0.6213 0.1093 0.4246
0.6213 0.3907 0.9246
0.8787 0.6093 0.4246
0.8787 0.8907 0.9246
0.9998 0.2082 0.4310
0.9998 0.2918 0.9310
0.0002 0.7082 0.0690
0.0002 0.7918 0.5690
0.0603 0.2185 0.7358
0.0603 0.2815 0.2358
0.1895 0.5533 0.7383
0.1895 0.9467 0.2383
0.2435 0.5435 0.4187
0.2435 0.9565 0.9187
0.2565 0.0435 0.4187
0.2565 0.4565 0.9187
0.3105 0.0533 0.7383
0.3105 0.4467 0.2383
0.4397 0.7185 0.7358
0.4397 0.7815 0.2358
0.4998 0.2082 0.0690
0.4998 0.2918 0.5690
0.5002 0.7082 0.4310
0.5002 0.7918 0.9310
0.5603 0.2185 0.7642
0.5603 0.2815 0.2642
0.6895 0.5533 0.7617
0.6895 0.9467 0.2617
0.7435 0.5435 0.0813
0.7435 0.9565 0.5813
0.7565 0.0435 0.0813
0.7565 0.4565 0.5813
0.8105 0.0533 0.7617
0.8105 0.4467 0.2617
0.9397 0.7185 0.7642
0.9397 0.7815 0.2642
```

## Properties
Calculated density ... 4.6 g/cm3
Space-group type ... Pbca (61)



Stability ranking, top entry: model z; the second entry is 962 meV per atom less favorable.



Model w:
Here is crystalline TcP2 at its relaxed geometry from Alexandria via LeMat-Bulk. Energies are from GGA-PBE.

The structure in POSCAR format:
```
TcP2
1.0
0.0000 2.8648 2.8648
2.8648 0.0000 2.8648
2.8648 2.8648 0.0000
Tc P
1 2
Direct
0.0000 0.0000 0.0000
0.2500 0.2500 0.2500
0.7500 0.7500 0.7500
```

## Properties
Density of states at the Fermi level ... 0.9580 states/eV/atom
Calculated density ... 5.6 g/cm3
Space-group type ... Fm-3m (225)



Model x:
Here is crystalline TcP2 at its relaxed geometry from Alexandria via LeMat-Bulk. Energies are from GGA-PBE.

The structure in POSCAR format:
```
TcP2
1.0
4.5198 0.0000 0.0000
-2.2599 3.9143 0.0000
0.0000 0.0000 10.5039
Tc P
4 8
Direct
0.3333 0.6667 0.0630
0.3333 0.6667 0.4370
0.6667 0.3333 0.5630
0.6667 0.3333 0.9370
0.0000 0.0000 0.0000
0.0000 0.0000 0.5000
0.1602 0.3204 0.2500
0.1602 0.8398 0.2500
0.3204 0.1602 0.7500
0.6796 0.8398 0.2500
0.8398 0.1602 0.7500
0.8398 0.6796 0.7500
```

## Properties
Density of states at the Fermi level ... 0.6766 states/eV/atom
Calculated density ... 5.7 g/cm3
Space-group type ... P6_3/mmc (194)



Model y:
Here is crystalline TcP2 at its relaxed geometry from Alexandria via LeMat-Bulk. Energies are from GGA-PBE.

The structure in POSCAR format:
```
TcP2
1.0
4.2716 0.0000 0.0000
-2.1358 3.6993 0.0000
0.0000 0.0000 5.2960
Tc P
2 4
Direct
0.3333 0.6667 0.2500
0.6667 0.3333 0.7500
0.0000 0.0000 0.0000
0.0000 0.0000 0.5000
0.3333 0.6667 0.7500
0.6667 0.3333 0.2500
```

## Properties
Density of states at the Fermi level ... 1.0598 states/eV/atom
Calculated density ... 6.3 g/cm3
Space-group type ... P6_3/mmc (194)



Stability ranking, top entry: model w; the second entry is 229 meV per atom less favorable.



Model w:
Here is crystalline TcP2 at its relaxed geometry from Alexandria via LeMat-Bulk. Energies are from GGA-PBE.

The structure in POSCAR format:
```
TcP2
1.0
5.8280 0.0000 0.0000
0.0000 5.8280 0.0000
0.0000 0.0000 5.8280
Tc P
4 8
Direct
0.0000 0.0000 0.0000
0.0000 0.5000 0.5000
0.5000 0.0000 0.5000
0.5000 0.5000 0.0000
0.1108 0.6108 0.8892
0.1108 0.8892 0.3892
0.3892 0.1108 0.8892
0.3892 0.3892 0.3892
0.6108 0.6108 0.6108
0.6108 0.8892 0.1108
0.8892 0.1108 0.6108
0.8892 0.3892 0.1108
```

## Properties
Density of states at the Fermi level ... 1.1447 states/eV/atom
Calculated density ... 5.4 g/cm3
Space-group type ... Pa-3 (205)



Model x:
Here is crystalline TcP2 at its relaxed geometry from Alexandria via LeMat-Bulk. Energies are from GGA-PBE.

The structure in POSCAR format:
```
TcP2
1.0
3.8121 -2.4112 0.0000
3.8121 2.4112 0.0000
0.0000 0.0000 4.4955
Tc P
2 4
Direct
0.1997 0.8003 0.7500
0.8003 0.1997 0.2500
0.1004 0.5721 0.2500
0.4279 0.8996 0.2500
0.5721 0.1004 0.7500
0.8996 0.4279 0.7500
```

## Properties
Density of states at the Fermi level ... 0.5510 states/eV/atom
Calculated density ... 6.4 g/cm3
Space-group type ... Cmcm (63)



Model y:
Here is crystalline TcP2 at its relaxed geometry from Alexandria via LeMat-Bulk. Energies are from GGA-PBE.

The structure in POSCAR format:
```
TcP2
1.0
-1.6256 1.6256 3.8628
1.6256 -1.6256 3.8628
1.6256 1.6256 -3.8628
Tc P
1 2
Direct
0.0000 0.0000 0.0000
0.3310 0.3310 0.0000
0.6690 0.6690 0.0000
```

## Properties
Density of states at the Fermi level ... 0.7258 states/eV/atom
Calculated density ... 6.5 g/cm3
Space-group type ... I4/mmm (139)



Stability ranking, top entry: model x; the second entry is 40 meV per atom less favorable.